RbNdPbBr6 after structural relaxation, computed with PBE-GGA.

```
data_RbNdPbBr6
_symmetry_space_group_name_H-M 'P 1'
_symmetry_Int_Tables_number 1
_symmetry_space_group_name_Hall 'P 1'
_cell_length_a 7.790
_cell_length_b 7.790
_cell_length_c 14.901
_cell_angle_alpha 90.00
_cell_angle_beta 90.00
_cell_angle_gamma 120.00
loop_
_atom_site_label
_atom_site_type_symbol
_atom_site_fract_x
_atom_site_fract_y
_atom_site_fract_z
_atom_site_occupancy
Rb1 Rb 0.000 0.000 0.000 1
Rb2 Rb 0.000 0.000 0.500 1
Nd1 Nd 0.333 0.667 0.250 1
Nd2 Nd 0.667 0.333 0.750 1
Pb1 Pb 0.333 0.667 0.750 1
Pb2 Pb 0.667 0.333 0.250 1
Br1 Br 0.014 0.378 0.137 1
Br2 Br 0.014 0.636 0.363 1
Br3 Br 0.364 0.378 0.363 1
Br4 Br 0.364 0.986 0.137 1
Br5 Br 0.378 0.014 0.637 1
Br6 Br 0.378 0.364 0.863 1
Br7 Br 0.622 0.636 0.137 1
Br8 Br 0.622 0.986 0.363 1
Br9 Br 0.636 0.014 0.863 1
Br10 Br 0.636 0.622 0.637 1
Br11 Br 0.986 0.364 0.637 1
Br12 Br 0.986 0.622 0.863 1
```

Results
Total energy in eV for the cell shown: -67.02
Symmetry: P-31c, No. 163